## Ni2HgCO (PBE+U)

Data for an optimized crystal structure of Ni2HgCO.

Properties
- space-group type = No. 123
- total moment (μB/f.u.) = 1.5
- E (eV per atom) = -2.82

abc: 3.8425 3.8425 4.2756
angles: 90.00 90.00 90.00
Last column: nearest neighbours and their distance in Å.
Element x y z (fractional)
Ni 0.0000 0.5000 0.0000  2 O 1.92
Ni 0.5000 0.0000 0.0000  2 O 1.92
Hg 0.0000 0.0000 0.5000  4 C 2.72, 8 Ni 2.87
C 0.5000 0.5000 0.5000  2 O 2.14
O 0.5000 0.5000 0.0000  4 Ni 1.92, 2 C 2.14